Crystalline Li7Mn5O12 at its relaxed geometry, computed with PBE with a Hubbard U.

Calculated values
The value obtained for the raw total energy is -6.302 eV/atom. As for the crystal system: monoclinic.

Cell: 8.1283 2.9822 9.8498 Å, 90.00 113.92 90.00°
Space group P2/m (No. 10)
One atom of each set of equivalent atoms:
Li 0.0000 0.0000 0.0000 x1
Li 0.0000 0.5000 0.5000 x1
Li 0.1595 0.0000 0.3214 x2
Li 0.3093 0.5000 0.1578 x2
Li 0.5000 0.0000 0.0000 x1
Mn 0.1623 0.5000 0.8400 x2
Mn 0.3361 0.0000 0.6684 x2
Mn 0.5000 0.5000 0.5000 x1
O 0.0683 0.5000 0.1711 x2
O 0.1042 0.0000 0.6816 x2
O 0.2411 0.0000 0.9813 x2
O 0.2617 0.5000 0.5105 x2
O 0.4047 0.5000 0.8260 x2
O 0.4331 0.0000 0.3465 x2